VASP calculation (PBE) on an optimized crystal structure of CeHoAu.

Lattice parameters (Å, degrees): 4.939 4.939 3.775 90.00 90.00 120.00
Atoms (fractional coordinates):
Ce1 0.000 0.000 0.000
Ho1 0.667 0.333 0.552
Au1 0.333 0.667 0.364

formation energy from the elements = -28 kJ per mole of atoms
ΔE to the lowest computed polymorph = 0.139 eV per atom

---

VASP calculation (PBE) on an optimized crystal structure of Ce2HoAu.

Lattice parameters (Å, degrees): 3.785 3.785 7.898 90.00 90.00 90.00
Atoms (fractional coordinates):
Ce1 0.000 0.000 0.209
Ce2 0.000 0.000 0.791
Ho1 0.500 0.500 0.500
Au1 0.500 0.500 0.000

formation energy from the elements = -19 kJ per mole of atoms
ΔE to the lowest computed polymorph = 0.060 eV per atom

---

VASP calculation (PBE) on an optimized crystal structure of CeHoAu.

Lattice parameters (Å, degrees): 5.019 5.019 5.019 60.00 60.00 60.00
Atoms (fractional coordinates):
Ce1 0.000 0.000 0.000
Ho1 0.500 0.500 0.500
Au1 0.250 0.250 0.250

formation energy from the elements = -27 kJ per mole of atoms
ΔE to the lowest computed polymorph = 0.147 eV per atom